# GGA-PBE NaB2Se4, optimized geometry
data_NaB2Se4
_chemical_formula_sum 'Na4 B8 Se16'
_symmetry_space_group_name_H-M 'C c c m'
_symmetry_Int_Tables_number 66
_symmetry_space_group_name_Hall '-C 2 2c'
_cell_length_a 5.601
_cell_length_b 10.548
_cell_length_c 10.513
_cell_angle_alpha 90.00
_cell_angle_beta 90.00
_cell_angle_gamma 90.00
loop_
_atom_site_label
_atom_site_type_symbol
_atom_site_fract_x
_atom_site_fract_y
_atom_site_fract_z
Na1 Na 0.000 0.000 0.250
B1 B 0.000 0.253 0.000
Se1 Se 0.246 0.106 0.000
Se2 Se 0.250 0.250 0.355
# - density of states at the Fermi level (states/eV per atom) = 0.70
# - raw formation energy (eV per atom) = -0.29